Ga6Ni5Rh, optimized geometry, DFT PBE-GGA; VASP energy = -4.93 eV/atom; E_form = -457 kJ/mol of formula units; D(E_F) = 0.62 states/eV per atom
1.0
2.0861 -6.2884 0.0000
2.0861 6.2884 0.0000
-0.0079 0.0000 5.8290
Ga Ni Rh
6 5 1
Direct
0.9998 0.9998 0.2408 Ga
0.0002 0.0002 0.7592 Ga
0.3300 0.6702 0.2471 Ga
0.3298 0.6700 0.7529 Ga
0.6702 0.3300 0.2471 Ga
0.6700 0.3298 0.7529 Ga
0.1648 0.8352 0.5000 Ni
0.1665 0.8335 0.0000 Ni
0.5000 0.5000 0.0000 Ni
0.8335 0.1665 0.0000 Ni
0.8352 0.1648 0.5000 Ni
0.5000 0.5000 0.5000 Rh